(one)
First-principles (PBE) data for an optimized crystal structure of SrPbSe2N, as listed in the Alexandria database.

a = 5.5409 Å, b = 5.5409 Å, c = 4.6424 Å
α = 90.00°, β = 90.00°, γ = 90.00°
Element x y z (fractional)
Pb1 0.0000 0.0000 0.0000
Sr1 0.5000 0.5000 0.5000
Se1 0.0000 0.5000 0.0000
Se2 0.5000 0.0000 0.0000
N1 0.0000 0.0000 0.5000

---

(two)
First-principles (PBE) data for an optimized crystal structure of SrPbSe2N, as listed in the Alexandria database.

a = 6.0485 Å, b = 6.0485 Å, c = 4.9391 Å
α = 90.00°, β = 90.00°, γ = 90.00°
Element x y z (fractional)
Pb1 0.5000 0.5000 0.5000
Sr1 0.0000 0.0000 0.0000
Se1 0.0000 0.5000 0.0000
Se2 0.5000 0.0000 0.0000
N1 0.0000 0.0000 0.5000

---

The least stable of them is (two).